Record 1
PBE CaYPd6, relaxed; density of states at the Fermi level = 0.631 states/eV per atom; formation enthalpy at 0 K = -0.4741 eV per atom; symmetry = Pm-3; size of the total moment = 0.00 Bohr magnetons per cell
1.0
5.281 0.000 0.000
0.000 5.281 0.000
0.000 0.000 5.281
Ca Y Pd
1 1 6
Direct
0.000 0.000 0.000 Ca
0.500 0.500 0.500 Y
0.000 0.250 0.500 Pd
0.000 0.750 0.500 Pd
0.250 0.500 0.000 Pd
0.500 0.000 0.250 Pd
0.500 0.000 0.750 Pd
0.750 0.500 0.000 Pd


Record 2
PBE CaY2Pd2, relaxed; density of states at the Fermi level = 0.937 states/eV per atom; formation enthalpy at 0 K = -0.3000 eV per atom; symmetry = I4/mmm; size of the total moment = 0.00 Bohr magnetons per cell
1.0
-2.120 2.120 7.656
2.120 -2.120 7.656
2.120 2.120 -7.656
Ca Y Pd
1 2 2
Direct
0.000 0.000 0.000 Ca
0.371 0.371 0.000 Y
0.629 0.629 0.000 Y
0.250 0.750 0.500 Pd
0.750 0.250 0.500 Pd


Record 3
PBE CaYPd10, relaxed; density of states at the Fermi level = 1.083 states/eV per atom; formation enthalpy at 0 K = -0.4312 eV per atom; symmetry = Pmmm; size of the total moment = 0.00 Bohr magnetons per cell
1.0
4.495 0.000 0.000
0.000 5.311 0.000
0.000 0.000 9.208
Ca Y Pd
1 1 10
Direct
0.000 0.000 0.000 Ca
0.000 0.500 0.500 Y
0.000 0.000 0.337 Pd
0.000 0.000 0.663 Pd
0.000 0.500 0.171 Pd
0.000 0.500 0.829 Pd
0.500 0.000 0.500 Pd
0.500 0.251 0.252 Pd
0.500 0.251 0.748 Pd
0.500 0.500 0.000 Pd
0.500 0.749 0.252 Pd
0.500 0.749 0.748 Pd